! TbThNb GGA-PBE relaxed; values from VASP
! calculated total energy = -7.13 eV per atom
! formation enthalpy at 0 K = 0.25 eV/atom
! size of the total moment = 0.000 μB/atom
&SYSTEM
  ibrav = 0, nat = 3, ntyp = 3
/
ATOMIC_SPECIES
Tb 158.93 Tb.upf
Th 232.04 Th.upf
Nb 92.91 Nb.upf
CELL_PARAMETERS angstrom
5.188 0.000 0.000
-2.594 4.493 0.000
0.000 0.000 3.419
ATOMIC_POSITIONS crystal
Tb 0.000 0.000 0.000
Th 0.333 0.667 0.500
Nb 0.667 0.333 0.501